Model A:
## DyScIr (PBE)

Data for a relaxed DyScIr crystal.

CIF file:
```
data_DyScIr
_cell_length_a 4.598
_cell_length_b 4.598
_cell_length_c 4.598
_cell_angle_alpha 60.00
_cell_angle_beta 60.00
_cell_angle_gamma 60.00
_symmetry_space_group_name_H-M 'P 1'
_symmetry_Int_Tables_number 1
_symmetry_space_group_name_Hall 'P 1'
loop_
_atom_site_label
_atom_site_fract_x
_atom_site_fract_y
_atom_site_fract_z
Dy1 0.000 0.000 0.000
Ir1 0.250 0.250 0.250
Sc1 0.750 0.750 0.750
```

Summary:
Space-group type: No. 216

Model B:
## DyScIr (PBE)

Data for a relaxed DyScIr crystal.

CIF file:
```
data_DyScIr
_cell_length_a 4.544
_cell_length_b 4.544
_cell_length_c 4.544
_cell_angle_alpha 60.00
_cell_angle_beta 60.00
_cell_angle_gamma 60.00
_symmetry_space_group_name_H-M 'P 1'
_symmetry_Int_Tables_number 1
_symmetry_space_group_name_Hall 'P 1'
loop_
_atom_site_label
_atom_site_fract_x
_atom_site_fract_y
_atom_site_fract_z
Dy1 0.250 0.250 0.250
Ir1 0.750 0.750 0.750
Sc1 0.000 0.000 0.000
```

Summary:
Space-group type: No. 216

Stability summary - winner: model B; margin: 0.203 eV/atom.

Model A:
## DyYIr (PBE)

Data for a relaxed DyYIr crystal.

CIF file:
```
data_DyYIr
_cell_length_a 7.215
_cell_length_b 4.632
_cell_length_c 8.716
_cell_angle_alpha 90.00
_cell_angle_beta 90.00
_cell_angle_gamma 90.00
_symmetry_space_group_name_H-M 'P 1'
_symmetry_Int_Tables_number 1
_symmetry_space_group_name_Hall 'P 1'
loop_
_atom_site_label
_atom_site_fract_x
_atom_site_fract_y
_atom_site_fract_z
Dy1 0.358 0.750 0.080
Dy2 0.858 0.750 0.420
Dy3 0.142 0.250 0.580
Dy4 0.642 0.250 0.920
Ir1 0.754 0.750 0.093
Ir2 0.254 0.750 0.407
Ir3 0.746 0.250 0.593
Ir4 0.246 0.250 0.907
Y1 0.010 0.250 0.164
Y2 0.510 0.250 0.336
Y3 0.490 0.750 0.664
Y4 0.990 0.750 0.836
```

Summary:
Space-group type: No. 62

Model B:
## DyYIr (PBE)

Data for a relaxed DyYIr crystal.

CIF file:
```
data_DyYIr
_cell_length_a 7.209
_cell_length_b 4.620
_cell_length_c 8.783
_cell_angle_alpha 90.00
_cell_angle_beta 90.00
_cell_angle_gamma 90.00
_symmetry_space_group_name_H-M 'P 1'
_symmetry_Int_Tables_number 1
_symmetry_space_group_name_Hall 'P 1'
loop_
_atom_site_label
_atom_site_fract_x
_atom_site_fract_y
_atom_site_fract_z
Dy1 0.990 0.250 0.162
Dy2 0.490 0.250 0.338
Dy3 0.510 0.750 0.662
Dy4 0.010 0.750 0.838
Ir1 0.240 0.750 0.093
Ir2 0.740 0.750 0.407
Ir3 0.260 0.250 0.593
Ir4 0.760 0.250 0.907
Y1 0.642 0.750 0.081
Y2 0.142 0.750 0.419
Y3 0.858 0.250 0.581
Y4 0.358 0.250 0.919
```

Summary:
Space-group type: No. 62

Stability summary - winner: model A; margin: 0.013 eV/atom.

Model A:
## KDyTeO (PBE)

Data for a relaxed KDyTeO crystal.

CIF file:
```
data_KDyTeO
_cell_length_a 4.721
_cell_length_b 8.440
_cell_length_c 6.795
_cell_angle_alpha 90.00
_cell_angle_beta 90.00
_cell_angle_gamma 90.00
_symmetry_space_group_name_H-M 'P 1'
_symmetry_Int_Tables_number 1
_symmetry_space_group_name_Hall 'P 1'
loop_
_atom_site_label
_atom_site_fract_x
_atom_site_fract_y
_atom_site_fract_z
Dy1 0.500 0.891 0.023
Dy2 0.500 0.109 0.523
K1 0.000 0.285 0.123
K2 0.000 0.715 0.623
O1 0.500 0.087 0.213
O2 0.500 0.913 0.713
Te1 0.000 0.696 0.132
Te2 0.000 0.304 0.632
```

Summary:
Space-group type: No. 26

Model B:
## KDyTeO (PBE)

Data for a relaxed KDyTeO crystal.

CIF file:
```
data_KDyTeO
_cell_length_a 4.228
_cell_length_b 4.228
_cell_length_c 10.667
_cell_angle_alpha 90.00
_cell_angle_beta 90.00
_cell_angle_gamma 90.00
_symmetry_space_group_name_H-M 'P 1'
_symmetry_Int_Tables_number 1
_symmetry_space_group_name_Hall 'P 1'
loop_
_atom_site_label
_atom_site_fract_x
_atom_site_fract_y
_atom_site_fract_z
Dy1 0.250 0.250 0.088
Dy2 0.750 0.750 0.912
K1 0.750 0.250 0.500
K2 0.250 0.750 0.500
O1 0.750 0.250 0.000
O2 0.250 0.750 0.000
Te1 0.750 0.750 0.263
Te2 0.250 0.250 0.737
```

Summary:
Space-group type: No. 129

Stability summary - winner: model A; margin: 0.074 eV/atom.

Model A:
## KDyTeO (PBE)

Data for a relaxed KDyTeO crystal.

CIF file:
```
data_KDyTeO
_cell_length_a 7.811
_cell_length_b 7.811
_cell_length_c 7.811
_cell_angle_alpha 28.73
_cell_angle_beta 28.73
_cell_angle_gamma 28.73
_symmetry_space_group_name_H-M 'P 1'
_symmetry_Int_Tables_number 1
_symmetry_space_group_name_Hall 'P 1'
loop_
_atom_site_label
_atom_site_fract_x
_atom_site_fract_y
_atom_site_fract_z
Dy1 0.020 0.020 0.020
K1 0.488 0.488 0.488
O1 0.728 0.728 0.728
Te1 0.264 0.264 0.264
```

Summary:
Space-group type: No. 160

Model B:
## KDyTeO (PBE)

Data for a relaxed KDyTeO crystal.

CIF file:
```
data_KDyTeO
_cell_length_a 6.673
_cell_length_b 7.397
_cell_length_c 9.119
_cell_angle_alpha 90.00
_cell_angle_beta 101.38
_cell_angle_gamma 90.00
_symmetry_space_group_name_H-M 'P 1'
_symmetry_Int_Tables_number 1
_symmetry_space_group_name_Hall 'P 1'
loop_
_atom_site_label
_atom_site_fract_x
_atom_site_fract_y
_atom_site_fract_z
Dy1 0.791 0.363 0.491
Dy2 0.291 0.137 0.491
Dy3 0.209 0.637 0.509
Dy4 0.709 0.863 0.509
K1 0.818 0.588 0.135
K2 0.318 0.912 0.135
K3 0.182 0.412 0.865
K4 0.682 0.088 0.865
O1 0.381 0.860 0.428
O2 0.881 0.640 0.428
O3 0.619 0.140 0.572
O4 0.119 0.360 0.572
Te1 0.861 0.073 0.247
Te2 0.361 0.427 0.247
Te3 0.139 0.927 0.753
Te4 0.639 0.573 0.753
```

Summary:
Space-group type: No. 14

Stability summary - winner: model B; margin: 0.318 eV/atom.

Model A:
## KDySnTe3 (PBE)

Data for a relaxed KDySnTe3 crystal.

CIF file:
```
data_KDySnTe3
_cell_length_a 9.051
_cell_length_b 9.051
_cell_length_c 12.630
_cell_angle_alpha 90.00
_cell_angle_beta 90.00
_cell_angle_gamma 151.98
_symmetry_space_group_name_H-M 'P 1'
_symmetry_Int_Tables_number 1
_symmetry_space_group_name_Hall 'P 1'
loop_
_atom_site_label
_atom_site_fract_x
_atom_site_fract_y
_atom_site_fract_z
Dy1 0.500 0.500 0.000
Dy2 0.500 0.500 0.500
K1 0.200 0.800 0.250
K2 0.800 0.200 0.750
Sn1 0.887 0.113 0.250
Sn2 0.113 0.887 0.750
Te1 0.878 0.122 0.000
Te2 0.500 0.500 0.250
Te3 0.878 0.122 0.500
Te4 0.122 0.878 0.500
Te5 0.500 0.500 0.750
Te6 0.122 0.878 0.000
```

Summary:
Space-group type: No. 63

Model B:
## KDySnTe3 (PBE)

Data for a relaxed KDySnTe3 crystal.

CIF file:
```
data_KDySnTe3
_cell_length_a 16.563
_cell_length_b 4.426
_cell_length_c 12.607
_cell_angle_alpha 90.00
_cell_angle_beta 90.00
_cell_angle_gamma 90.00
_symmetry_space_group_name_H-M 'P 1'
_symmetry_Int_Tables_number 1
_symmetry_space_group_name_Hall 'P 1'
loop_
_atom_site_label
_atom_site_fract_x
_atom_site_fract_y
_atom_site_fract_z
Dy1 0.509 0.750 0.149
Dy2 0.009 0.750 0.351
Dy3 0.991 0.250 0.649
Dy4 0.491 0.250 0.851
K1 0.771 0.750 0.082
K2 0.271 0.750 0.418
K3 0.729 0.250 0.582
K4 0.229 0.250 0.918
Sn1 0.038 0.250 0.082
Sn2 0.538 0.250 0.418
Sn3 0.462 0.750 0.582
Sn4 0.962 0.750 0.918
Te1 0.608 0.250 0.040
Te2 0.139 0.750 0.170
Te3 0.908 0.250 0.234
Te4 0.408 0.250 0.266
Te5 0.639 0.750 0.330
Te6 0.108 0.250 0.460
Te7 0.892 0.750 0.540
Te8 0.361 0.250 0.670
Te9 0.592 0.750 0.734
Te10 0.092 0.750 0.766
Te11 0.861 0.250 0.830
Te12 0.392 0.750 0.960
```

Summary:
Space-group type: No. 62

Stability summary - winner: model B; margin: 0.125 eV/atom.

Model A:
## LaDy (PBE)

Data for a relaxed LaDy crystal.

CIF file:
```
data_LaDy
_cell_length_a 4.651
_cell_length_b 4.651
_cell_length_c 4.651
_cell_angle_alpha 60.00
_cell_angle_beta 60.00
_cell_angle_gamma 60.00
_symmetry_space_group_name_H-M 'P 1'
_symmetry_Int_Tables_number 1
_symmetry_space_group_name_Hall 'P 1'
loop_
_atom_site_label
_atom_site_fract_x
_atom_site_fract_y
_atom_site_fract_z
Dy1 0.000 0.000 0.000
La1 0.500 0.500 0.500
```

Summary:
Space-group type: No. 225

Model B:
## LaDy (PBE)

Data for a relaxed LaDy crystal.

CIF file:
```
data_LaDy
_cell_length_a 4.748
_cell_length_b 4.748
_cell_length_c 4.748
_cell_angle_alpha 60.00
_cell_angle_beta 60.00
_cell_angle_gamma 60.00
_symmetry_space_group_name_H-M 'P 1'
_symmetry_Int_Tables_number 1
_symmetry_space_group_name_Hall 'P 1'
loop_
_atom_site_label
_atom_site_fract_x
_atom_site_fract_y
_atom_site_fract_z
Dy1 0.000 0.000 0.000
La1 0.250 0.250 0.250
```

Summary:
Space-group type: No. 216

Model C:
## LaDy (PBE)

Data for a relaxed LaDy crystal.

CIF file:
```
data_LaDy
_cell_length_a 3.660
_cell_length_b 3.660
_cell_length_c 5.874
_cell_angle_alpha 90.00
_cell_angle_beta 90.00
_cell_angle_gamma 120.00
_symmetry_space_group_name_H-M 'P 1'
_symmetry_Int_Tables_number 1
_symmetry_space_group_name_Hall 'P 1'
loop_
_atom_site_label
_atom_site_fract_x
_atom_site_fract_y
_atom_site_fract_z
Dy1 0.667 0.333 0.750
La1 0.333 0.667 0.250
```

Summary:
Space-group type: No. 187

Stability summary - winner: model C; margin: 0.592 eV/atom.

Model A:
## LaDySn (PBE)

Data for a relaxed LaDySn crystal.

CIF file:
```
data_LaDySn
_cell_length_a 5.271
_cell_length_b 5.271
_cell_length_c 5.271
_cell_angle_alpha 60.00
_cell_angle_beta 60.00
_cell_angle_gamma 60.00
_symmetry_space_group_name_H-M 'P 1'
_symmetry_Int_Tables_number 1
_symmetry_space_group_name_Hall 'P 1'
loop_
_atom_site_label
_atom_site_fract_x
_atom_site_fract_y
_atom_site_fract_z
Dy1 0.750 0.750 0.750
La1 0.250 0.250 0.250
Sn1 0.000 0.000 0.000
```

Summary:
Space-group type: No. 216

Model B:
## LaDySn (PBE)

Data for a relaxed LaDySn crystal.

CIF file:
```
data_LaDySn
_cell_length_a 5.502
_cell_length_b 5.502
_cell_length_c 6.689
_cell_angle_alpha 90.00
_cell_angle_beta 90.00
_cell_angle_gamma 120.00
_symmetry_space_group_name_H-M 'P 1'
_symmetry_Int_Tables_number 1
_symmetry_space_group_name_Hall 'P 1'
loop_
_atom_site_label
_atom_site_fract_x
_atom_site_fract_y
_atom_site_fract_z
Dy1 0.667 0.333 0.487
Dy2 0.333 0.667 0.987
La1 0.000 0.000 0.237
La2 0.000 0.000 0.737
Sn1 0.333 0.667 0.486
Sn2 0.667 0.333 0.986
```

Summary:
Space-group type: No. 186

Stability summary - winner: model B; margin: 0.189 eV/atom.

Model A:
## LiDy2 (PBE)

Data for a relaxed LiDy2 crystal.

CIF file:
```
data_LiDy2
_cell_length_a 8.322
_cell_length_b 8.322
_cell_length_c 8.322
_cell_angle_alpha 60.00
_cell_angle_beta 60.00
_cell_angle_gamma 60.00
_symmetry_space_group_name_H-M 'P 1'
_symmetry_Int_Tables_number 1
_symmetry_space_group_name_Hall 'P 1'
loop_
_atom_site_label
_atom_site_fract_x
_atom_site_fract_y
_atom_site_fract_z
Dy1 0.375 0.375 0.375
Dy2 0.875 0.375 0.375
Dy3 0.375 0.875 0.375
Dy4 0.375 0.375 0.875
Li1 0.250 0.250 0.250
Li2 0.500 0.500 0.500
```

Summary:
Space-group type: No. 227

Model B:
## LiDy2 (PBE)

Data for a relaxed LiDy2 crystal.

CIF file:
```
data_LiDy2
_cell_length_a 6.464
_cell_length_b 6.464
_cell_length_c 6.464
_cell_angle_alpha 60.00
_cell_angle_beta 60.00
_cell_angle_gamma 60.00
_symmetry_space_group_name_H-M 'P 1'
_symmetry_Int_Tables_number 1
_symmetry_space_group_name_Hall 'P 1'
loop_
_atom_site_label
_atom_site_fract_x
_atom_site_fract_y
_atom_site_fract_z
Dy1 0.625 0.625 0.125
Dy2 0.625 0.125 0.625
Dy3 0.125 0.625 0.625
Dy4 0.625 0.625 0.625
Li1 0.000 0.000 0.000
Li2 0.250 0.250 0.250
```

Summary:
Space-group type: No. 227

Stability summary - winner: model B; margin: 1.479 eV/atom.